Entry 1:
VASP calculation (PBE) on crystalline AlCo2Sb at its relaxed geometry.

a = 4.2651 Å, b = 4.2651 Å, c = 4.2651 Å
α = 60.00°, β = 60.00°, γ = 60.00°
Last column: magnetic moment on the atom in μB.
Fractional coordinates of all 4 atoms:
Sb: 0.5000 0.5000 0.5000  0.03
Co: 0.2500 0.2500 0.2500  0.76
Co: 0.7500 0.7500 0.7500  0.76
Al: 0.0000 0.0000 0.0000  0.00

Summary:
As for the space group: Fm-3m.

***

Entry 2:
VASP calculation (PBE) on crystalline Al2Co2Sb at its relaxed geometry.

a = 7.2835 Å, b = 7.2835 Å, c = 2.8092 Å
α = 90.00°, β = 90.00°, γ = 90.00°
Fractional coordinates of all 10 atoms:
Sb: 0.0000 0.0000 0.0000
Sb: 0.5000 0.5000 0.0000
Co: 0.1594 0.6594 0.5000
Co: 0.6594 0.8406 0.5000
Co: 0.8406 0.3406 0.5000
Co: 0.3406 0.1594 0.5000
Al: 0.3707 0.8707 0.0000
Al: 0.8707 0.6293 0.0000
Al: 0.6293 0.1293 0.0000
Al: 0.1293 0.3707 0.0000

Summary:
As for the space group: P4/mbm.

***

Entry 3:
VASP calculation (PBE) on crystalline AlCo2Sb at its relaxed geometry.

a = 7.7784 Å, b = 7.7784 Å, c = 7.7784 Å
α = 22.21°, β = 22.21°, γ = 22.21°
Fractional coordinates of all 4 atoms:
Sb: 0.2500 0.2500 0.2500
Co: 0.0024 0.0024 0.0024
Co: 0.4976 0.4976 0.4976
Al: 0.7500 0.7500 0.7500

Summary:
As for the space group: R-3m.

***

Entry 4:
VASP calculation (PBE) on crystalline Al2Co2Sb at its relaxed geometry.

a = 3.9746 Å, b = 3.9746 Å, c = 5.8688 Å
α = 70.21°, β = 70.21°, γ = 90.00°
Fractional coordinates of all 5 atoms:
Sb: 0.0000 0.0000 0.0000
Co: 0.7500 0.2500 0.5000
Co: 0.2500 0.7500 0.5000
Al: 0.3710 0.3710 0.2580
Al: 0.6290 0.6290 0.7420

Summary:
As for the space group: I4/mmm.

***

Entry 5:
VASP calculation (PBE) on crystalline AlCoSb2 at its relaxed geometry.

a = 5.9959 Å, b = 5.9959 Å, c = 7.2668 Å
α = 65.63°, β = 65.63°, γ = 90.00°
Fractional coordinates of all 8 atoms:
Sb: 0.6663 0.1250 0.2500
Sb: 0.0837 0.6250 0.2500
Sb: 0.3750 0.3337 0.7500
Sb: 0.8750 0.9163 0.7500
Co: 0.0000 0.0000 0.0000
Co: 0.7500 0.2500 0.5000
Al: 0.5000 0.5000 0.0000
Al: 0.2500 0.7500 0.5000

Summary:
As for the space group: I-42d.

***

Entry 6:
VASP calculation (PBE) on crystalline AlCoSb2 at its relaxed geometry.

a = 4.8674 Å, b = 4.8674 Å, c = 3.3486 Å
α = 90.00°, β = 90.00°, γ = 101.48°
Last column: magnetic moment on the atom in μB.
Fractional coordinates of all 4 atoms:
Sb: 0.0000 0.0000 0.0000  -0.01
Sb: 0.5000 0.5000 0.0000  -0.01
Co: 0.0000 0.5000 0.5000  0.68
Al: 0.5000 0.0000 0.5000  0.00

Summary:
As for the space group: Cmmm.

***

| no. | formation energy without anion corrections (eV/atom) |
| --- | --- |
| 1 | -0.11 |
| 2 | -0.02 |
| 3 | 0.12 |
| 4 | 0.19 |
| 5 | 0.22 |
| 6 | 0.38 |